WSe2NF after structural relaxation, computed with PBE with a Hubbard U.

Cell and atoms, written as CIF:
```
data_WSe2NF
_symmetry_space_group_name_H-M 'P 1'
_symmetry_Int_Tables_number 1
_cell_length_a 4.571
_cell_length_b 4.571
_cell_length_c 4.029
_cell_angle_alpha 90.00
_cell_angle_beta 90.00
_cell_angle_gamma 90.00
loop_
_symmetry_equiv_pos_as_xyz
'x,y,z'
loop_
_atom_site_label
_atom_site_fract_x
_atom_site_fract_y
_atom_site_fract_z
Se1 0.000 0.500 0.000
N1 0.000 0.000 0.500
Se2 0.500 0.000 0.000
W1 0.500 0.500 0.500
F1 0.000 0.000 0.000
```

## Properties
- Space group: No. 123
- Energy above the most stable polymorph in this dataset: 5.32 eV per formula unit